A relaxed structure of Rb3MnCd2F9, computed with GGA+U.

Total energy = -4.50 eV per atom

Structure (CIF):
```
data_Rb3MnCd2F9
_space_group_name_H-M_alt 'P -3 m 1'
_space_group_IT_number 164
_space_group_name_Hall '-P 3 2"'
_cell_length_a 6.2663
_cell_length_b 6.2663
_cell_length_c 7.6830
_cell_angle_alpha 90.00
_cell_angle_beta 90.00
_cell_angle_gamma 120.00
loop_
_atom_site_label
_atom_site_type_symbol
_atom_site_fract_x
_atom_site_fract_y
_atom_site_fract_z
Rb1 Rb 0.0000 0.0000 0.0000
Rb2 Rb 0.3333 0.6667 0.6684
Mn1 Mn 0.0000 0.0000 0.5000
Cd1 Cd 0.3333 0.6667 0.1743
F1 F 0.0000 0.5000 0.0000
F2 F 0.1616 0.3233 0.3402
```